Density functional theory data (PBE) for a relaxed structure of Mg5Sc4Tl.

```
data_Mg5Sc4Tl
_chemical_formula_sum 'Mg10 Sc8 Tl2'
_space_group_name_H-M_alt 'C 1 2/m 1'
_space_group_IT_number 12
_space_group_name_Hall '-C 2y'
_cell_length_a 15.034
_cell_length_b 5.048
_cell_length_c 6.254
_cell_angle_alpha 90.00
_cell_angle_beta 105.21
_cell_angle_gamma 90.00
loop_
_atom_site_label
_atom_site_type_symbol
_atom_site_fract_x
_atom_site_fract_y
_atom_site_fract_z
Mg1 Mg 0.000 0.000 0.000
Mg2 Mg 0.102 0.500 0.914
Mg3 Mg 0.202 0.000 0.298
Sc1 Sc 0.100 0.500 0.397
Sc2 Sc 0.197 0.000 0.801
Tl1 Tl 0.000 0.000 0.500
```

Energy relative to the elements: -1.0 eV per formula unit

---

Density functional theory data (PBE) for a relaxed structure of Mg3Sc2Tl4.

```
data_Mg3Sc2Tl4
_chemical_formula_sum 'Mg6 Sc4 Tl8'
_space_group_name_H-M_alt 'C 1 2/m 1'
_space_group_IT_number 12
_space_group_name_Hall '-C 2y'
_cell_length_a 8.588
_cell_length_b 4.893
_cell_length_c 10.213
_cell_angle_alpha 90.00
_cell_angle_beta 91.77
_cell_angle_gamma 90.00
loop_
_atom_site_label
_atom_site_type_symbol
_atom_site_fract_x
_atom_site_fract_y
_atom_site_fract_z
Mg1 Mg 0.000 0.000 0.000
Mg2 Mg 0.164 0.500 0.566
Sc1 Sc 0.171 0.500 0.224
Tl1 Tl 0.007 0.000 0.335
Tl2 Tl 0.164 0.500 0.893
```

Energy relative to the elements: -1.0 eV per formula unit

---

Density functional theory data (PBE) for a relaxed structure of MgSc3Tl.

```
data_MgSc3Tl
_chemical_formula_sum 'Mg1 Sc3 Tl1'
_space_group_name_H-M_alt 'P m -3 m'
_space_group_IT_number 221
_space_group_name_Hall '-P 4 2 3'
_cell_length_a 5.221
_cell_length_b 5.221
_cell_length_c 5.221
_cell_angle_alpha 90.00
_cell_angle_beta 90.00
_cell_angle_gamma 90.00
loop_
_atom_site_label
_atom_site_type_symbol
_atom_site_fract_x
_atom_site_fract_y
_atom_site_fract_z
Mg1 Mg 0.000 0.000 0.000
Sc1 Sc 0.000 0.000 0.500
Tl1 Tl 0.500 0.500 0.500
```

Energy relative to the elements: 3.2 eV per formula unit

---

Density functional theory data (PBE) for a relaxed structure of MgScTl2.

```
data_MgScTl2
_chemical_formula_sum 'Mg1 Sc1 Tl2'
_space_group_name_H-M_alt 'P 4/m m m'
_space_group_IT_number 123
_space_group_name_Hall '-P 4 2'
_cell_length_a 3.537
_cell_length_b 3.537
_cell_length_c 7.597
_cell_angle_alpha 90.00
_cell_angle_beta 90.00
_cell_angle_gamma 90.00
loop_
_atom_site_label
_atom_site_type_symbol
_atom_site_fract_x
_atom_site_fract_y
_atom_site_fract_z
Mg1 Mg 0.000 0.000 0.000
Sc1 Sc 0.000 0.000 0.500
Tl1 Tl 0.500 0.500 0.248
```

Energy relative to the elements: -0.5 eV per formula unit

---

Density functional theory data (PBE) for a relaxed structure of Mg2ScTl4.

```
data_Mg2ScTl4
_chemical_formula_sum 'Mg4 Sc2 Tl8'
_space_group_name_H-M_alt 'I 4/m m m'
_space_group_IT_number 139
_space_group_name_Hall '-I 4 2'
_cell_length_a 6.841
_cell_length_b 6.841
_cell_length_c 7.805
_cell_angle_alpha 90.00
_cell_angle_beta 90.00
_cell_angle_gamma 90.00
loop_
_atom_site_label
_atom_site_type_symbol
_atom_site_fract_x
_atom_site_fract_y
_atom_site_fract_z
Mg1 Mg 0.000 0.500 0.000
Sc1 Sc 0.000 0.000 0.000
Tl1 Tl 0.250 0.250 0.250
```

Energy relative to the elements: -0.6 eV per formula unit

---

Density functional theory data (PBE) for a relaxed structure of Mg3Sc2Tl.

```
data_Mg3Sc2Tl
_chemical_formula_sum 'Mg24 Sc16 Tl8'
_space_group_name_H-M_alt 'F m m m'
_space_group_IT_number 69
_space_group_name_Hall '-F 2 2'
_cell_length_a 6.448
_cell_length_b 10.003
_cell_length_c 17.204
_cell_angle_alpha 90.00
_cell_angle_beta 90.00
_cell_angle_gamma 90.00
loop_
_atom_site_label
_atom_site_type_symbol
_atom_site_fract_x
_atom_site_fract_y
_atom_site_fract_z
Mg1 Mg 0.000 0.000 0.166
Mg2 Mg 0.000 0.250 0.082
Sc1 Sc 0.249 0.000 0.500
Sc2 Sc 0.250 0.250 0.250
Tl1 Tl 0.000 0.000 0.334
```

Energy relative to the elements: -0.6 eV per formula unit

---

Density functional theory data (PBE) for a relaxed structure of MgSc5Tl.

```
data_MgSc5Tl
_chemical_formula_sum 'Mg4 Sc20 Tl4'
_space_group_name_H-M_alt 'C 1 2/c 1'
_space_group_IT_number 15
_space_group_name_Hall '-C 2yc'
_cell_length_a 8.952
_cell_length_b 11.395
_cell_length_c 7.482
_cell_angle_alpha 90.00
_cell_angle_beta 115.20
_cell_angle_gamma 90.00
loop_
_atom_site_label
_atom_site_type_symbol
_atom_site_fract_x
_atom_site_fract_y
_atom_site_fract_z
Mg1 Mg 0.000 0.169 0.250
Sc1 Sc 0.000 0.084 0.750
Sc2 Sc 0.084 0.329 0.591
Sc3 Sc 0.203 0.456 0.336
Tl1 Tl 0.250 0.250 0.000
```

Energy relative to the elements: 0.8 eV per formula unit

---

Density functional theory data (PBE) for a relaxed structure of Mg3Sc4Tl2.

```
data_Mg3Sc4Tl2
_chemical_formula_sum 'Mg3 Sc4 Tl2'
_space_group_name_H-M_alt 'P -3 m 1'
_space_group_IT_number 164
_space_group_name_Hall '-P 3 2"'
_cell_length_a 5.0151
_cell_length_b 5.0151
_cell_length_c 9.6133
_cell_angle_alpha 90.00
_cell_angle_beta 90.00
_cell_angle_gamma 120.00
loop_
_atom_site_label
_atom_site_type_symbol
_atom_site_fract_x
_atom_site_fract_y
_atom_site_fract_z
Mg1 Mg 0.0000 0.0000 0.0000
Mg2 Mg 0.3333 0.6667 0.5148
Sc1 Sc 0.0000 0.0000 0.3302
Sc2 Sc 0.3333 0.6667 0.8670
Tl1 Tl 0.3333 0.6667 0.1918
```

Energy relative to the elements: -1.4 eV per formula unit

---

Density functional theory data (PBE) for a relaxed structure of MgSc12Tl3.

```
data_MgSc12Tl3
_chemical_formula_sum 'Mg1 Sc12 Tl3'
_space_group_name_H-M_alt 'P 4/m m m'
_space_group_IT_number 123
_space_group_name_Hall '-P 4 2'
_cell_length_a 4.531
_cell_length_b 4.531
_cell_length_c 18.240
_cell_angle_alpha 90.00
_cell_angle_beta 90.00
_cell_angle_gamma 90.00
loop_
_atom_site_label
_atom_site_type_symbol
_atom_site_fract_x
_atom_site_fract_y
_atom_site_fract_z
Mg1 Mg 0.000 0.000 0.000
Sc1 Sc 0.000 0.500 0.127
Sc2 Sc 0.000 0.500 0.376
Sc3 Sc 0.500 0.500 0.000
Sc4 Sc 0.500 0.500 0.252
Sc5 Sc 0.500 0.500 0.500
Tl1 Tl 0.000 0.000 0.251
Tl2 Tl 0.000 0.000 0.500
```

Energy relative to the elements: -2.3 eV per formula unit

---

Density functional theory data (PBE) for a relaxed structure of MgSc6Tl.

```
data_MgSc6Tl
_chemical_formula_sum 'Mg2 Sc12 Tl2'
_space_group_name_H-M_alt 'C 1 2/m 1'
_space_group_IT_number 12
_space_group_name_Hall '-C 2y'
_cell_length_a 8.210
_cell_length_b 6.217
_cell_length_c 8.583
_cell_angle_alpha 90.00
_cell_angle_beta 106.14
_cell_angle_gamma 90.00
loop_
_atom_site_label
_atom_site_type_symbol
_atom_site_fract_x
_atom_site_fract_y
_atom_site_fract_z
Mg1 Mg 0.000 0.000 0.000
Sc1 Sc 0.142 0.500 0.941
Sc2 Sc 0.197 0.256 0.297
Tl1 Tl 0.000 0.500 0.500
```

Energy relative to the elements: 1.6 eV per formula unit

---

Density functional theory data (PBE) for a relaxed structure of Mg3ScTl.

```
data_Mg3ScTl
_chemical_formula_sum 'Mg12 Sc4 Tl4'
_space_group_name_H-M_alt 'C m m m'
_space_group_IT_number 65
_space_group_name_Hall '-C 2 2'
_cell_length_a 4.909
_cell_length_b 30.927
_cell_length_c 3.274
_cell_angle_alpha 90.00
_cell_angle_beta 90.00
_cell_angle_gamma 90.00
loop_
_atom_site_label
_atom_site_type_symbol
_atom_site_fract_x
_atom_site_fract_y
_atom_site_fract_z
Mg1 Mg 0.000 0.048 0.000
Mg2 Mg 0.000 0.229 0.500
Mg3 Mg 0.000 0.423 0.500
Sc1 Sc 0.000 0.324 0.000
Tl1 Tl 0.000 0.137 0.500
```

Energy relative to the elements: 0.1 eV per formula unit

---

Density functional theory data (PBE) for a relaxed structure of MgSc2Tl3.

```
data_MgSc2Tl3
_chemical_formula_sum 'Mg2 Sc4 Tl6'
_space_group_name_H-M_alt 'P 1 2/m 1'
_space_group_IT_number 10
_space_group_name_Hall '-P 2y'
_cell_length_a 5.064
_cell_length_b 7.274
_cell_length_c 8.048
_cell_angle_alpha 90.00
_cell_angle_beta 107.40
_cell_angle_gamma 90.00
loop_
_atom_site_label
_atom_site_type_symbol
_atom_site_fract_x
_atom_site_fract_y
_atom_site_fract_z
Mg1 Mg 0.161 0.000 0.323
Sc1 Sc 0.170 0.500 0.339
Sc2 Sc 0.500 0.000 0.000
Sc3 Sc 0.500 0.500 0.000
Tl1 Tl 0.000 0.253 0.000
Tl2 Tl 0.331 0.243 0.663
```

Energy relative to the elements: -1.1 eV per formula unit

---

Density functional theory data (PBE) for a relaxed structure of Mg14ScTl.

```
data_Mg14ScTl
_chemical_formula_sum 'Mg14 Sc1 Tl1'
_space_group_name_H-M_alt 'P 4/m m m'
_space_group_IT_number 123
_space_group_name_Hall '-P 4 2'
_cell_length_a 6.570
_cell_length_b 6.570
_cell_length_c 8.658
_cell_angle_alpha 90.00
_cell_angle_beta 90.00
_cell_angle_gamma 90.00
loop_
_atom_site_label
_atom_site_type_symbol
_atom_site_fract_x
_atom_site_fract_y
_atom_site_fract_z
Mg1 Mg 0.000 0.000 0.000
Mg2 Mg 0.000 0.500 0.000
Mg3 Mg 0.000 0.500 0.500
Mg4 Mg 0.247 0.247 0.247
Mg5 Mg 0.500 0.500 0.000
Sc1 Sc 0.000 0.000 0.500
Tl1 Tl 0.500 0.500 0.500
```

Energy relative to the elements: 0.0 eV per formula unit

---

Density functional theory data (PBE) for a relaxed structure of Mg4ScTl.

```
data_Mg4ScTl
_chemical_formula_sum 'Mg16 Sc4 Tl4'
_space_group_name_H-M_alt 'F -4 3 m'
_space_group_IT_number 216
_space_group_name_Hall 'F -4 2 3'
_cell_length_a 8.345
_cell_length_b 8.345
_cell_length_c 8.345
_cell_angle_alpha 90.00
_cell_angle_beta 90.00
_cell_angle_gamma 90.00
loop_
_atom_site_label
_atom_site_type_symbol
_atom_site_fract_x
_atom_site_fract_y
_atom_site_fract_z
Mg1 Mg 0.124 0.124 0.124
Sc1 Sc 0.250 0.250 0.750
Tl1 Tl 0.000 0.000 0.500
```

Energy relative to the elements: 0.5 eV per formula unit

---

Density functional theory data (PBE) for a relaxed structure of MgSc2Tl.

```
data_MgSc2Tl
_chemical_formula_sum 'Mg1 Sc2 Tl1'
_space_group_name_H-M_alt 'P m m 2'
_space_group_IT_number 25
_space_group_name_Hall 'P 2 -2'
_cell_length_a 3.322
_cell_length_b 4.517
_cell_length_c 6.301
_cell_angle_alpha 90.00
_cell_angle_beta 90.00
_cell_angle_gamma 90.00
loop_
_atom_site_label
_atom_site_type_symbol
_atom_site_fract_x
_atom_site_fract_y
_atom_site_fract_z
Mg1 Mg 0.000 0.000 0.000
Sc1 Sc 0.000 0.000 0.492
Sc2 Sc 0.500 0.500 0.238
Tl1 Tl 0.500 0.500 0.734
```

Energy relative to the elements: -0.4 eV per formula unit

---

Density functional theory data (PBE) for a relaxed structure of MgScTl.

```
data_MgScTl
_chemical_formula_sum 'Mg1 Sc1 Tl1'
_space_group_name_H-M_alt 'P 3 m 1'
_space_group_IT_number 156
_space_group_name_Hall 'P 3 -2"'
_cell_length_a 3.3648
_cell_length_b 3.3648
_cell_length_c 7.5799
_cell_angle_alpha 90.00
_cell_angle_beta 90.00
_cell_angle_gamma 120.00
loop_
_atom_site_label
_atom_site_type_symbol
_atom_site_fract_x
_atom_site_fract_y
_atom_site_fract_z
Mg1 Mg 0.0000 0.0000 0.0000
Sc1 Sc 0.3333 0.6667 0.3409
Tl1 Tl 0.6667 0.3333 0.6713
```

Energy relative to the elements: 0.0 eV per formula unit

---

Density functional theory data (PBE) for a relaxed structure of Mg2Sc2Tl.

```
data_Mg2Sc2Tl
_chemical_formula_sum 'Mg4 Sc4 Tl2'
_space_group_name_H-M_alt 'P 4/m b m'
_space_group_IT_number 127
_space_group_name_Hall '-P 4 2ab'
_cell_length_a 7.684
_cell_length_b 7.684
_cell_length_c 3.955
_cell_angle_alpha 90.00
_cell_angle_beta 90.00
_cell_angle_gamma 90.00
loop_
_atom_site_label
_atom_site_type_symbol
_atom_site_fract_x
_atom_site_fract_y
_atom_site_fract_z
Mg1 Mg 0.135 0.365 0.000
Sc1 Sc 0.161 0.661 0.500
Tl1 Tl 0.000 0.000 0.000
```

Energy relative to the elements: 0.0 eV per formula unit

---

Density functional theory data (PBE) for a relaxed structure of Mg3ScTl2.

```
data_Mg3ScTl2
_chemical_formula_sum 'Mg6 Sc2 Tl4'
_space_group_name_H-M_alt 'P -1'
_space_group_IT_number 2
_space_group_name_Hall '-P 1'
_cell_length_a 4.800
_cell_length_b 7.909
_cell_length_c 8.682
_cell_angle_alpha 67.62
_cell_angle_beta 74.01
_cell_angle_gamma 72.56
loop_
_atom_site_label
_atom_site_type_symbol
_atom_site_fract_x
_atom_site_fract_y
_atom_site_fract_z
Mg1 Mg 0.029 0.299 0.143
Mg2 Mg 0.275 0.053 0.897
Mg3 Mg 0.374 0.622 0.127
Sc1 Sc 0.123 0.856 0.397
Tl1 Tl 0.227 0.420 0.629
Tl2 Tl 0.492 0.174 0.343
```

Energy relative to the elements: -0.4 eV per formula unit

---

Density functional theory data (PBE) for a relaxed structure of MgSc2Tl.

```
data_MgSc2Tl
_chemical_formula_sum 'Mg1 Sc2 Tl1'
_space_group_name_H-M_alt 'P 1 m 1'
_space_group_IT_number 6
_space_group_name_Hall 'P -2y'
_cell_length_a 3.365
_cell_length_b 4.707
_cell_length_c 6.198
_cell_angle_alpha 90.00
_cell_angle_beta 105.75
_cell_angle_gamma 90.00
loop_
_atom_site_label
_atom_site_type_symbol
_atom_site_fract_x
_atom_site_fract_y
_atom_site_fract_z
Mg1 Mg 0.000 0.000 0.000
Sc1 Sc 0.250 0.000 0.507
Sc2 Sc 0.602 0.500 0.207
Tl1 Tl 0.852 0.500 0.714
```

Energy relative to the elements: -0.6 eV per formula unit

---

Density functional theory data (PBE) for a relaxed structure of Mg4Sc5Tl.

```
data_Mg4Sc5Tl
_chemical_formula_sum 'Mg4 Sc5 Tl1'
_space_group_name_H-M_alt 'P 4/m m m'
_space_group_IT_number 123
_space_group_name_Hall '-P 4 2'
_cell_length_a 3.616
_cell_length_b 3.616
_cell_length_c 17.689
_cell_angle_alpha 90.00
_cell_angle_beta 90.00
_cell_angle_gamma 90.00
loop_
_atom_site_label
_atom_site_type_symbol
_atom_site_fract_x
_atom_site_fract_y
_atom_site_fract_z
Mg1 Mg 0.000 0.000 0.101
Mg2 Mg 0.000 0.000 0.299
Sc1 Sc 0.500 0.500 0.000
Sc2 Sc 0.500 0.500 0.202
Sc3 Sc 0.500 0.500 0.399
Tl1 Tl 0.000 0.000 0.500
```

Energy relative to the elements: -1.0 eV per formula unit